CuAs2Br: relaxed, GGA-PBE.

Cell: 5.3324 5.3324 5.6410 Å, 90.00 90.00 90.00°
Closest atoms and distances in Å follow each position.
Space group I4/mmm (No. 139)
Inequivalent atoms, fractional coordinates:
Cu  0.0000  0.0000  0.0000 (multiplicity 2)  4 As 2.67, 2 Br 2.82
As  0.0000  0.5000  0.0000 (multiplicity 4)  2 Br 2.67, 2 Cu 2.67, 2 As 2.82
Br  0.0000  0.0000  0.5000 (multiplicity 2)  4 As 2.67, 2 Cu 2.82

## Properties
For the formation energy without anion corrections, the calculation gives 0.306 eV/atom.

=====

AcNdY5: relaxed, GGA-PBE.

Cell: 9.0363 9.9190 11.6870 Å, 90.00 110.67 90.00°
Closest atoms and distances in Å follow each position.
Space group C2/c (No. 15)
Inequivalent atoms, fractional coordinates:
Ac  0.2500  0.2500  0.0000 (multiplicity 4)  6 Y 3.46-3.70
Nd  0.0000  0.2362  0.2500 (multiplicity 4)  9 Y 3.37-3.69
Y  0.0000  0.4235  0.7500 (multiplicity 4)  6 Y 3.37-3.62, 1 Nd 3.37, 2 Ac 3.46
Y  0.1262  0.0738  0.6661 (multiplicity 8)  6 Y 3.49-3.88, 2 Nd 3.54-3.69, 1 Ac 3.70
Y  0.1687  0.3959  0.5359 (multiplicity 8)  7 Y 3.37-3.76, 2 Nd 3.41-3.52, 1 Ac 3.64

## Properties
For the formation energy, the calculation gives 0.09 eV per atom.

=====

CaZrW2: relaxed, GGA-PBE.

Cell: 7.8424 7.8424 5.5820 Å, 90.00 90.00 90.00°
Closest atoms and distances in Å follow each position.
Space group I-42d (No. 122)
Inequivalent atoms, fractional coordinates:
Ca  0.0000  0.0000  0.0000 (multiplicity 4)  2 Zr 2.79, 4 W 2.94
Zr  0.0000  0.0000  0.5000 (multiplicity 4)  4 W 2.78, 2 Ca 2.79
W  0.2348  0.7500  0.6250 (multiplicity 8)  2 Zr 2.78, 2 W 2.80, 2 Ca 2.94

## Properties
For the formation energy, the calculation gives 1.39 eV per atom.

=====

Number 1: total energy -3.461 eV/atom. Number 2: total energy -5.795 eV/atom. Number 3: total energy -7.721 eV/atom.